# PBE TbErTh3, relaxed
data_TbErTh3
_cell_length_a 6.0139
_cell_length_b 16.5541
_cell_length_c 3.4966
_cell_angle_alpha 90.00
_cell_angle_beta 94.26
_cell_angle_gamma 90.00
_space_group_name_H-M_alt 'C 1 2 1'
_space_group_IT_number 5
loop_
_space_group_symop_operation_xyz
'x,y,z'
'-x,y,-z'
'x+1/2,y+1/2,z'
'-x+1/2,y+1/2,-z'
loop_
_atom_site_label
_atom_site_type_symbol
_atom_site_fract_x
_atom_site_fract_y
_atom_site_fract_z
Tb1 Tb 0.0000 0.0000 0.0000
Er1 Er 0.0000 0.5347 0.5000
Th1 Th 0.0000 0.1670 0.5000
Th2 Th 0.2456 0.8287 0.7835
# Energy relative to the elements ... 386 meV/atom